# 1
Mn2Tl3CrTe6 | GGA-PBE | optimized geometry

Summary:
calculated volume	28.85	A^3/atom
formation energy from raw total energies	-2.8	eV per formula unit

abc: 7.138 7.138 8.197
angles: 98.34 98.34 120.01
Positions (direct):
Mn: 0.167 0.833 0.000
Mn: 0.833 0.167 0.000
Tl: 0.000 0.000 0.500
Tl: 0.334 0.666 0.500
Tl: 0.666 0.334 0.500
Cr: 0.500 0.500 0.000
Te: 0.107 0.437 0.812
Te: 0.233 0.233 0.189
Te: 0.437 0.107 0.812
Te: 0.563 0.893 0.188
Te: 0.767 0.767 0.811
Te: 0.893 0.563 0.188

---

# 2
MnTl2Cr2Te6 | GGA-PBE | optimized geometry

Summary:
calculated volume	30.36	A^3/atom
formation energy from raw total energies	-2.6	eV per formula unit

abc: 6.960 6.960 8.308
angles: 98.09 98.09 120.11
Positions (direct):
Mn: 0.000 0.000 0.000
Tl: 0.168 0.832 0.500
Tl: 0.832 0.168 0.500
Cr: 0.330 0.670 0.000
Cr: 0.670 0.330 0.000
Te: 0.064 0.397 0.187
Te: 0.270 0.270 0.817
Te: 0.397 0.064 0.187
Te: 0.603 0.936 0.813
Te: 0.730 0.730 0.183
Te: 0.936 0.603 0.813

---

# 3
MnVCr2Te6 | GGA-PBE | optimized geometry

Summary:
calculated volume	25.42	A^3/atom
formation energy from raw total energies	-2.0	eV per formula unit

abc: 7.248 7.248 7.248
angles: 57.57 57.57 57.57
Positions (direct):
Mn: 0.000 0.000 0.000
V: 0.496 0.496 0.496
Cr: 0.318 0.318 0.318
Cr: 0.818 0.818 0.818
Te: 0.087 0.730 0.411
Te: 0.231 0.589 0.906
Te: 0.411 0.087 0.730
Te: 0.589 0.906 0.231
Te: 0.730 0.411 0.087
Te: 0.906 0.231 0.589

---

# 4
TiMnCr2 | GGA-PBE | optimized geometry

Summary:
calculated volume	12.31	A^3/atom
formation enthalpy at 0 K	0.74	kJ per mole of atoms
energy above the most stable polymorph in this dataset	22	meV/atom

abc: 4.115 4.115 2.908
angles: 90.00 90.00 90.00
Positions (direct):
Ti: 0.000 0.000 0.000
Mn: 0.500 0.500 0.000
Cr: 0.000 0.500 0.500
Cr: 0.500 0.000 0.500

---

Q: calculated volume of number 3 (MnVCr2Te6)?
A: 25.42 A^3/atom

---

Q: Which of these has the lowest calculated volume?
A: TiMnCr2

---

Q: What is the formula in the second record?
A: MnTl2Cr2Te6

---

Q: Which formula does entry 1 have?
A: Mn2Tl3CrTe6